Li2HPbAu: optimized geometry, PBE.

Unit cell a=4.229 b=4.229 c=4.562 alpha=90.00 beta=90.00 gamma=90.00
Sites, in units of the cell vectors:
Li  0.000  0.500  0.000
Li  0.500  0.000  0.000
H  0.000  0.000  0.000
Pb  0.000  0.000  0.500
Au  0.500  0.500  0.500

- Relative energy among the computed polymorphs: 78.2 meV/atom